No. 1
{"formula": "LaSm2HoH", "functional": "PBE", "state": "optimized geometry", "rho_g_cm3": 7.6, "dft_energy_ev_per_atom": -4.628, "magnetic_moment_mub_per_fu": 0.0, "cell": [[-0.825, -4.500, -2.215], [-0.868, -2.096, 4.584], [-4.971, 1.123, -0.428]], "species": ["La", "Sm", "Sm", "Ho", "H"], "frac_coords": [[0.500, 0.500, 0.500], [0.000, 0.000, 0.500], [0.000, 0.500, 0.000], [0.500, 0.000, 0.000], [0.000, 0.000, 0.000]]}

=====

No. 2
{"formula": "Li2HoH6", "functional": "PBE", "state": "optimized geometry", "rho_g_cm3": 3.0, "dft_energy_ev_per_atom": -2.869, "magnetic_moment_mub_per_fu": 0.0, "cell": [[4.548, 0.000, 2.626], [1.516, 4.288, 2.626], [0.000, 0.000, 5.252]], "species": ["H", "H", "H", "H", "H", "H", "Ho", "Li", "Li"], "frac_coords": [[0.282, 0.718, 0.282], [0.718, 0.282, 0.282], [0.282, 0.718, 0.718], [0.718, 0.282, 0.718], [0.718, 0.718, 0.282], [0.282, 0.282, 0.718], [0.000, 0.000, 0.000], [0.750, 0.750, 0.750], [0.250, 0.250, 0.250]]}

=====

No. 3
{"formula": "LiHoH", "functional": "PBE", "state": "optimized geometry", "polymorph_energy_ev_per_atom": 0.139, "rho_g_cm3": 5.3, "magnetic_moment_mub_per_fu": 0.0, "cell": [[-0.833, -1.666, 2.755], [1.426, -1.600, -2.543], [5.100, 1.069, 2.188]], "species": ["H", "Ho", "Li"], "frac_coords": [[0.333, 0.667, 0.647], [0.667, 0.333, 0.432], [0.000, 0.000, 0.921]]}

=====

No. 4
{"formula": "LiHoH3", "functional": "PBE", "state": "optimized geometry", "rho_g_cm3": 6.5, "dft_energy_ev_per_atom": -3.689, "magnetic_moment_mub_per_fu": 0.0, "cell": [[-1.830, 3.043, -0.041], [-3.034, -1.821, 0.299], [0.236, 0.189, 3.538]], "species": ["H", "H", "H", "Ho", "Li"], "frac_coords": [[0.000, 0.500, 0.000], [0.000, 0.000, 0.500], [0.500, 0.000, 0.000], [0.500, 0.500, 0.500], [0.000, 0.000, 0.000]]}